(1)
A relaxed structure of GaH3Pd6. Source: Alexandria, functional PBE-GGA.

Cell lengths 9.165, 2.899, 9.326 Å; angles 90.00, 111.34, 90.00 degrees
Space group P2_1/m (No. 11)
One atom of each set of equivalent atoms:
1 Ga 0.116 0.250 0.375 (multiplicity 2)
2 H 0.179 0.750 0.024 (multiplicity 2)
3 H 0.282 0.250 0.813 (multiplicity 2)
4 H 0.461 0.250 0.324 (multiplicity 2)
5 Pd 0.044 0.250 0.858 (multiplicity 2)
6 Pd 0.152 0.750 0.620 (multiplicity 2)
7 Pd 0.247 0.250 0.167 (multiplicity 2)
8 Pd 0.347 0.750 0.947 (multiplicity 2)
9 Pd 0.359 0.750 0.450 (multiplicity 2)
10 Pd 0.451 0.250 0.737 (multiplicity 2)

## Properties
Size of the total moment = 0.0 μB/f.u.
Excess energy over the best structure of this formula in the dataset = 0.0000 eV/atom



(2)
A relaxed structure of Tb6Sm2HoSc3. Source: Alexandria, functional PBE-GGA.

Cell lengths 6.076, 10.520, 11.508 Å; angles 90.00, 100.12, 90.00 degrees
Space group C2/m (No. 12)
One atom of each set of equivalent atoms:
1 Tb 0.246 0.000 0.240 (multiplicity 4)
2 Tb 0.247 0.334 0.240 (multiplicity 8)
3 Sm 0.000 0.333 0.500 (multiplicity 4)
4 Ho 0.000 0.000 0.500 (multiplicity 2)
5 Sc 0.000 0.167 0.000 (multiplicity 4)
6 Sc 0.000 0.500 0.000 (multiplicity 2)

## Properties
Energy of formation = 1.022 kcal/mol of atoms
Size of the total moment = 0.0 μB/f.u.



(3)
A relaxed structure of ZnH2Se2. Source: Alexandria, functional PBE-GGA.

Cell lengths 4.176, 4.268, 6.720 Å; angles 84.43, 82.84, 80.21 degrees
Space group P-1 (No. 2)
One atom of each set of equivalent atoms:
1 Zn 0.000 0.000 0.000 (multiplicity 1)
2 H 0.426 0.442 0.884 (multiplicity 2)
3 Se 0.305 0.257 0.741 (multiplicity 2)

## Properties
Size of the total moment = 0.0 μB/f.u.
Total energy = -3.081 eV per atom



(4)
A relaxed structure of RbAgSe2N. Source: Alexandria, functional PBE-GGA.

Cell lengths 6.209, 6.209, 5.278 Å; angles 90.00, 90.00, 90.00 degrees
Space group P4/mmm (No. 123)
One atom of each set of equivalent atoms:
1 Rb 0.000 0.000 0.000 (multiplicity 1)
2 Ag 0.500 0.500 0.500 (multiplicity 1)
3 Se 0.000 0.500 0.000 (multiplicity 2)
4 N 0.000 0.000 0.500 (multiplicity 1)

## Properties
Size of the total moment = 5.0 μB/f.u.
E_form (uncorrected) = 1.63 eV/atom
Excess energy over the best structure of this formula in the dataset = 0.9743 eV/atom



(5)
A relaxed structure of DySi2PtRh. Source: Alexandria, functional PBE-GGA.

Cell lengths 4.049, 4.049, 10.159 Å; angles 90.00, 90.00, 90.00 degrees
Space group I-4m2 (No. 119)
One atom of each set of equivalent atoms:
1 Dy 0.000 0.000 0.000 (multiplicity 2)
2 Si 0.000 0.000 0.385 (multiplicity 4)
3 Pt 0.000 0.500 0.750 (multiplicity 2)
4 Rh 0.000 0.500 0.250 (multiplicity 2)

## Properties
Size of the total moment = 0.0 μB/f.u.
E_form (uncorrected) = -1.09 eV/atom



(6)
A relaxed structure of Tb6DyHo8. Source: Alexandria, functional PBE-GGA.

Cell lengths 8.9836, 8.9836, 20.4645 Å; angles 90.00, 90.00, 120.00 degrees
Space group R-3 (No. 148, hexagonal axes)
One atom of each set of equivalent atoms:
1 Tb 0.0639 0.8161 0.2080 (multiplicity 18)
2 Dy 0.0000 0.0000 0.5000 (multiplicity 3)
3 Ho 0.0000 0.0000 0.0766 (multiplicity 6)
4 Ho 0.0813 0.5290 0.3082 (multiplicity 18)

## Properties
Energy of formation = 2.931 kcal/mol of atoms
Size of the total moment = 0.0 μB/f.u.